1.
First-principles (GGA-PBE) data for Ca3MnCd after structural relaxation, as listed in the Alexandria database. Values from VASP.

```
&SYSTEM
  ibrav = 0, nat = 5, ntyp = 3
/
ATOMIC_SPECIES
Ca 40.08 Ca.upf
Mn 54.94 Mn.upf
Cd 112.41 Cd.upf
CELL_PARAMETERS angstrom
5.5002 0.0000 0.0000
0.0000 5.5002 0.0000
0.0000 0.0000 5.5002
ATOMIC_POSITIONS crystal
Ca 0.0000 0.0000 0.5000
Ca 0.0000 0.5000 0.0000
Ca 0.5000 0.0000 0.0000
Mn 0.0000 0.0000 0.0000
Cd 0.5000 0.5000 0.5000
```

Results
Energy of formation (eV/atom): 0.37
M_tot (μB per formula unit): 2.379
Energy relative to the lowest polymorph listed for this composition (meV per atom): 0.0
DOS(E_F) (states/eV/f.u.): 2.87

=====

2.
First-principles (GGA-PBE) data for Fe2AsOs after structural relaxation, as listed in the Alexandria database. Values from VASP.

```
&SYSTEM
  ibrav = 0, nat = 4, ntyp = 3
/
ATOMIC_SPECIES
Fe 55.84 Fe.upf
As 74.92 As.upf
Os 190.23 Os.upf
CELL_PARAMETERS angstrom
2.7908 0.0000 0.0000
0.0000 2.7908 0.0000
0.0000 0.0000 6.4836
ATOMIC_POSITIONS crystal
Fe 0.0000 0.0000 0.2373
Fe 0.0000 0.0000 0.7627
As 0.5000 0.5000 0.0000
Os 0.5000 0.5000 0.5000
```

Results
Energy of formation (eV/atom): 0.19
M_tot (μB per formula unit): 2.440
DOS(E_F) (states/eV/f.u.): 4.57

=====

3.
First-principles (GGA-PBE) data for SrCrMo after structural relaxation, as listed in the Alexandria database. Values from VASP.

```
&SYSTEM
  ibrav = 0, nat = 3, ntyp = 3
/
ATOMIC_SPECIES
Sr 87.62 Sr.upf
Cr 52.00 Cr.upf
Mo 95.94 Mo.upf
CELL_PARAMETERS angstrom
-1.6642 1.6642 6.0112
1.6642 -1.6642 6.0112
1.6642 1.6642 -6.0112
ATOMIC_POSITIONS crystal
Sr 0.0000 0.0000 0.0000
Cr 0.2838 0.2838 0.0000
Mo 0.7152 0.7152 0.0000
```

Results
Energy of formation (eV/atom): 0.71
M_tot (μB per formula unit): 1.449
Energy relative to the lowest polymorph listed for this composition (meV per atom): 0.0
DOS(E_F) (states/eV/f.u.): 3.08

=====

4.
First-principles (GGA-PBE) data for InCu2H after structural relaxation, as listed in the Alexandria database. Values from VASP.

```
&SYSTEM
  ibrav = 0, nat = 4, ntyp = 3
/
ATOMIC_SPECIES
In 114.82 In.upf
Cu 63.55 Cu.upf
H 1.01 H.upf
CELL_PARAMETERS angstrom
0.0000 3.0356 3.0356
3.0356 0.0000 3.0356
3.0356 3.0356 0.0000
ATOMIC_POSITIONS crystal
In 0.0000 0.0000 0.0000
Cu 0.2500 0.2500 0.2500
Cu 0.7500 0.7500 0.7500
H 0.5000 0.5000 0.5000
```

Results
M_tot (μB per formula unit): 0.000
Energy relative to the lowest polymorph listed for this composition (meV per atom): 481.3
DOS(E_F) (states/eV/f.u.): 1.41

=====

5.
First-principles (GGA-PBE) data for Ce2NO2 after structural relaxation, as listed in the Alexandria database. Values from VASP.

```
&SYSTEM
  ibrav = 0, nat = 5, ntyp = 3
/
ATOMIC_SPECIES
Ce 140.12 Ce.upf
N 14.01 N.upf
O 16.00 O.upf
CELL_PARAMETERS angstrom
3.7691 0.0000 0.0000
-1.8846 3.2642 0.0000
0.0000 0.0000 6.1554
ATOMIC_POSITIONS crystal
Ce 0.3333 0.6667 0.2606
Ce 0.6667 0.3333 0.7394
N 0.0000 0.0000 0.5000
O 0.3333 0.6667 0.8605
O 0.6667 0.3333 0.1395
```

Results
M_tot (μB per formula unit): 1.078
DOS(E_F) (states/eV/f.u.): 7.47
Raw formation energy (meV per atom): -2698

=====

6.
First-principles (GGA-PBE) data for NpHI3 after structural relaxation, as listed in the Alexandria database. Values from VASP.

```
&SYSTEM
  ibrav = 0, nat = 10, ntyp = 3
/
ATOMIC_SPECIES
Np 237.00 Np.upf
H 1.01 H.upf
I 126.90 I.upf
CELL_PARAMETERS angstrom
8.1456 0.0000 0.0000
0.0000 4.1148 0.0000
-0.0606 0.0000 10.4814
ATOMIC_POSITIONS crystal
Np 0.1347 0.2500 0.2029
Np 0.8653 0.7500 0.7971
H 0.3617 0.2500 0.1368
H 0.6383 0.7500 0.8632
I 0.1107 0.2500 0.6766
I 0.2084 0.7500 0.9861
I 0.3580 0.7500 0.3416
I 0.6420 0.2500 0.6584
I 0.7916 0.2500 0.0139
I 0.8893 0.7500 0.3234
```

Results
M_tot (μB per formula unit): 2.990
Uncorrected energy (eV per cell): -46.26
DOS(E_F) (states/eV/f.u.): 9.69

=====

7.
First-principles (GGA-PBE) data for Ac3Tl2Cd after structural relaxation, as listed in the Alexandria database. Values from VASP.

```
&SYSTEM
  ibrav = 0, nat = 6, ntyp = 3
/
ATOMIC_SPECIES
Ac 227.00 Ac.upf
Tl 204.38 Tl.upf
Cd 112.41 Cd.upf
CELL_PARAMETERS angstrom
4.0559 0.0000 0.0000
0.0000 4.0559 0.0000
0.0000 0.0000 12.7054
ATOMIC_POSITIONS crystal
Ac 0.0000 0.0000 0.0000
Ac 0.0000 0.0000 0.3392
Ac 0.0000 0.0000 0.6608
Tl 0.5000 0.5000 0.1732
Tl 0.5000 0.5000 0.8268
Cd 0.5000 0.5000 0.5000
```

Results
Energy of formation (eV/atom): -0.33
M_tot (μB per formula unit): 0.002
DOS(E_F) (states/eV/f.u.): 7.36

=====

8.
First-principles (GGA-PBE) data for Pm2Cd4Ag5 after structural relaxation, as listed in the Alexandria database. Values from VASP.

```
&SYSTEM
  ibrav = 0, nat = 11, ntyp = 3
/
ATOMIC_SPECIES
Pm 145.00 Pm.upf
Cd 112.41 Cd.upf
Ag 107.87 Ag.upf
CELL_PARAMETERS angstrom
-2.8338 4.6033 4.7953
2.8338 -4.6033 4.7953
2.8338 4.6033 -4.7953
ATOMIC_POSITIONS crystal
Pm 0.2089 0.2089 0.0000
Pm 0.7911 0.7911 0.0000
Cd 0.0706 0.7390 0.3316
Cd 0.4074 0.7390 0.6684
Cd 0.5926 0.2610 0.3316
Cd 0.9294 0.2610 0.6684
Ag 0.0000 0.5000 0.5000
Ag 0.3317 0.2546 0.5863
Ag 0.3317 0.7454 0.0771
Ag 0.6683 0.2546 0.9229
Ag 0.6683 0.7454 0.4137
```

Results
Energy of formation (eV/atom): -0.11
M_tot (μB per formula unit): 0.000
DOS(E_F) (states/eV/f.u.): 6.04

=====

9.
First-principles (GGA-PBE) data for CaAcPuO6 after structural relaxation, as listed in the Alexandria database. Values from VASP.

```
&SYSTEM
  ibrav = 0, nat = 18, ntyp = 4
/
ATOMIC_SPECIES
Ca 40.08 Ca.upf
Ac 227.00 Ac.upf
Pu 244.00 Pu.upf
O 16.00 O.upf
CELL_PARAMETERS angstrom
5.8161 0.0000 0.0000
-2.9081 5.0369 0.0000
0.0000 0.0000 10.2570
ATOMIC_POSITIONS crystal
Ca 0.3333 0.6667 0.2500
Ca 0.6667 0.3333 0.7500
Ac 0.0000 0.0000 0.0000
Ac 0.0000 0.0000 0.5000
Pu 0.3333 0.6667 0.7500
Pu 0.6667 0.3333 0.2500
O 0.0422 0.3797 0.6409
O 0.0422 0.6625 0.8591
O 0.3375 0.3797 0.8591
O 0.3375 0.9578 0.6409
O 0.3797 0.0422 0.1409
O 0.3797 0.3375 0.3591
O 0.6203 0.6625 0.6409
O 0.6203 0.9578 0.8591
O 0.6625 0.0422 0.3591
O 0.6625 0.6203 0.1409
O 0.9578 0.3375 0.1409
O 0.9578 0.6203 0.3591
```

Results
M_tot (μB per formula unit): 1.000
Raw formation energy (meV per atom): -2875

=====

10.
First-principles (GGA-PBE) data for MnPSe2Br after structural relaxation, as listed in the Alexandria database. Values from VASP.

```
&SYSTEM
  ibrav = 0, nat = 5, ntyp = 4
/
ATOMIC_SPECIES
Mn 54.94 Mn.upf
P 30.97 P.upf
Se 78.96 Se.upf
Br 79.90 Br.upf
CELL_PARAMETERS angstrom
4.9311 0.0000 0.0000
0.0000 4.9311 0.0000
0.0000 0.0000 4.9151
ATOMIC_POSITIONS crystal
Mn 0.0000 0.0000 0.0000
P 0.5000 0.5000 0.5000
Se 0.0000 0.5000 0.5000
Se 0.5000 0.0000 0.5000
Br 0.5000 0.5000 0.0000
```

Results
M_tot (μB per formula unit): 5.104
Energy relative to the lowest polymorph listed for this composition (meV per atom): 0.0
DOS(E_F) (states/eV/f.u.): 3.24
Raw formation energy (meV per atom): 452

=====

11.
First-principles (GGA-PBE) data for PmSmCuSi after structural relaxation, as listed in the Alexandria database. Values from VASP.

```
&SYSTEM
  ibrav = 0, nat = 4, ntyp = 4
/
ATOMIC_SPECIES
Pm 145.00 Pm.upf
Sm 150.36 Sm.upf
Cu 63.55 Cu.upf
Si 28.09 Si.upf
CELL_PARAMETERS angstrom
4.1518 0.0000 0.0000
0.0000 2.0894 5.4608
0.0000 -2.0894 5.4608
ATOMIC_POSITIONS crystal
Pm 0.0000 0.0000 0.0000
Sm 0.5000 0.7180 0.7180
Cu 0.5000 0.4184 0.4184
Si 0.0000 0.2885 0.2885
```

Results
M_tot (μB per formula unit): 0.171
Energy relative to the lowest polymorph listed for this composition (meV per atom): 0.0
DOS(E_F) (states/eV/f.u.): 4.22
Raw formation energy (meV per atom): -474

=====

12.
First-principles (GGA-PBE) data for CrCuPd3 after structural relaxation, as listed in the Alexandria database. Values from VASP.

```
&SYSTEM
  ibrav = 0, nat = 10, ntyp = 3
/
ATOMIC_SPECIES
Cr 52.00 Cr.upf
Cu 63.55 Cu.upf
Pd 106.42 Pd.upf
CELL_PARAMETERS angstrom
2.3162 -7.0558 0.0000
2.3162 7.0558 0.0000
-1.2146 0.0000 4.4572
ATOMIC_POSITIONS crystal
Cr 0.1501 0.8499 0.7500
Cr 0.8499 0.1501 0.2500
Cu 0.3507 0.6493 0.7500
Cu 0.6493 0.3507 0.2500
Pd 0.0559 0.9441 0.2500
Pd 0.2505 0.7495 0.2500
Pd 0.4459 0.5541 0.2500
Pd 0.5541 0.4459 0.7500
Pd 0.7495 0.2505 0.7500
Pd 0.9441 0.0559 0.7500
```

Results
Energy of formation (eV/atom): -0.05
M_tot (μB per formula unit): 3.432
Energy relative to the lowest polymorph listed for this composition (meV per atom): 0.0
DOS(E_F) (states/eV/f.u.): 5.57